SrFeTe2N: optimized geometry, GGA-PBE.

Unit cell a=5.6187 b=5.6187 c=3.5146 alpha=90.00 beta=90.00 gamma=90.00
Atoms (fractional coordinates):
Sr1 0.0000 0.0000 0.0000
Fe1 0.5000 0.5000 0.5000
Te1 0.0000 0.5000 0.5000
Te2 0.5000 0.0000 0.5000
N1 0.5000 0.5000 0.0000

Summary:
Its uncorrected formation energy is -1.53 eV per formula unit. The symmetry is P4/mmm (123). Its density of states at the Fermi level is 4.220 states/eV/f.u. The mass density comes out at 6.2 g/cm3. The excess energy over the best structure of this formula in the dataset is 0.00 kcal/mol of atoms. The value obtained for the electronic total energy is -5.257 eV per atom.

=====

SrFeTeN2: optimized geometry, GGA-PBE.

Unit cell a=4.7344 b=4.7344 c=6.7978 alpha=90.00 beta=90.00 gamma=90.00
Atoms (fractional coordinates):
Sr1 0.0000 0.0000 0.0000
Fe1 0.5000 0.5000 0.5000
Te1 0.0000 0.0000 0.5000
N1 0.0000 0.5000 0.0000
N2 0.5000 0.0000 0.0000

Summary:
Its uncorrected formation energy is 8.68 eV per formula unit. The symmetry is P4/mmm (123). Its density of states at the Fermi level is 5.177 states/eV/f.u. The mass density comes out at 3.3 g/cm3. The excess energy over the best structure of this formula in the dataset is 26.78 kcal/mol of atoms. The value obtained for the electronic total energy is -4.252 eV per atom.

=====

SrFeTe2N: optimized geometry, GGA-PBE.

Unit cell a=6.1676 b=6.1676 c=4.7524 alpha=90.00 beta=90.00 gamma=90.00
Atoms (fractional coordinates):
Sr1 0.0000 0.0000 0.0000
Fe1 0.5000 0.5000 0.5000
Te1 0.0000 0.5000 0.0000
Te2 0.5000 0.0000 0.0000
N1 0.0000 0.0000 0.5000

Summary:
Its uncorrected formation energy is 6.35 eV per formula unit. The symmetry is P4/mmm (123). Its density of states at the Fermi level is 9.829 states/eV/f.u. The mass density comes out at 3.8 g/cm3. The excess energy over the best structure of this formula in the dataset is 36.35 kcal/mol of atoms. The value obtained for the electronic total energy is -3.681 eV per atom.

=====

SrFeTeN2: optimized geometry, GGA-PBE.

Unit cell a=4.1876 b=4.1876 c=5.1873 alpha=90.00 beta=90.00 gamma=90.00
Atoms (fractional coordinates):
Sr1 0.0000 0.0000 0.0000
Fe1 0.5000 0.5000 0.5000
Te1 0.5000 0.5000 0.0000
N1 0.0000 0.5000 0.5000
N2 0.5000 0.0000 0.5000

Summary:
Its uncorrected formation energy is 2.87 eV per formula unit. The symmetry is P4/mmm (123). Its density of states at the Fermi level is 2.765 states/eV/f.u. The mass density comes out at 5.5 g/cm3. The excess energy over the best structure of this formula in the dataset is 0.00 kcal/mol of atoms. The value obtained for the electronic total energy is -5.414 eV per atom.

=====

Sr2FeTeN: optimized geometry, GGA-PBE.

Unit cell a=5.5412 b=5.5412 c=3.8721 alpha=90.00 beta=90.00 gamma=90.00
Atoms (fractional coordinates):
Sr1 0.0000 0.5000 0.0000
Sr2 0.5000 0.0000 0.0000
Fe1 0.0000 0.0000 0.5000
Te1 0.5000 0.5000 0.5000
N1 0.0000 0.0000 0.0000

Summary:
Its uncorrected formation energy is -3.85 eV per formula unit. The symmetry is P4/mmm (123). Its density of states at the Fermi level is 0.797 states/eV/f.u. The mass density comes out at 5.2 g/cm3. The value obtained for the electronic total energy is -5.429 eV per atom.

=====

Sr2TlFeN: optimized geometry, GGA-PBE.

Unit cell a=5.6423 b=5.6423 c=3.6224 alpha=90.00 beta=90.00 gamma=90.00
Atoms (fractional coordinates):
Sr1 0.0000 0.5000 0.0000
Sr2 0.5000 0.0000 0.0000
Tl1 0.0000 0.0000 0.5000
Fe1 0.5000 0.5000 0.5000
N1 0.5000 0.5000 0.0000

Summary:
Its uncorrected formation energy is -1.57 eV per formula unit. The symmetry is P4/mmm (123). Its density of states at the Fermi level is 2.748 states/eV/f.u. The mass density comes out at 6.5 g/cm3. The value obtained for the electronic total energy is -4.817 eV per atom.

=====

TaFeN: optimized geometry, GGA-PBE.

Unit cell a=10.3117 b=2.9473 c=4.7168 alpha=90.00 beta=99.26 gamma=90.00
Atoms (fractional coordinates):
Ta1 0.0000 0.0000 0.0000
Ta2 0.1772 0.0000 0.5830
Ta3 0.5000 0.5000 0.0000
Ta4 0.6772 0.5000 0.5830
Fe1 0.2530 0.5000 0.1061
Fe2 0.4290 0.0000 0.4948
Fe3 0.7530 0.0000 0.1061
Fe4 0.9290 0.5000 0.4948
N1 0.0847 0.5000 0.2956
N2 0.3524 0.0000 0.8621
N3 0.5847 0.0000 0.2956
N4 0.8524 0.5000 0.8621

Summary:
Its uncorrected formation energy is -1.41 eV per formula unit. The symmetry is Cm (8). Its density of states at the Fermi level is 2.232 states/eV/f.u. The mass density comes out at 11.8 g/cm3. The value obtained for the electronic total energy is -10.017 eV per atom.

=====

TaFeN2: optimized geometry, GGA-PBE.

Unit cell a=4.4228 b=4.4228 c=9.4579 alpha=90.00 beta=90.00 gamma=90.00
Atoms (fractional coordinates):
Ta1 0.0000 0.0000 0.0000
Ta2 0.0000 0.5000 0.2500
Ta3 0.5000 0.0000 0.7500
Ta4 0.5000 0.5000 0.5000
Fe1 0.0000 0.0000 0.5000
Fe2 0.0000 0.5000 0.7500
Fe3 0.5000 0.0000 0.2500
Fe4 0.5000 0.5000 0.0000
N1 0.2300 0.2500 0.6250
N2 0.2500 0.7300 0.8750
N3 0.2500 0.7700 0.3750
N4 0.2700 0.2500 0.1250
N5 0.7300 0.7500 0.1250
N6 0.7500 0.2300 0.3750
N7 0.7500 0.2700 0.8750
N8 0.7700 0.7500 0.6250

Summary:
Its uncorrected formation energy is -1.68 eV per formula unit. The symmetry is I-42d (122). Its density of states at the Fermi level is 3.307 states/eV/f.u. The mass density comes out at 9.5 g/cm3. The value obtained for the electronic total energy is -9.662 eV per atom.

=====

Ta4Fe2N: optimized geometry, GGA-PBE.

Unit cell a=8.2082 b=8.2082 c=8.2082 alpha=60.00 beta=60.00 gamma=60.00
Atoms (fractional coordinates):
Ta1 0.0000 0.0000 0.0000
Ta2 0.0000 0.0000 0.5000
Ta3 0.0000 0.5000 0.0000
Ta4 0.1867 0.1867 0.5633
Ta5 0.1867 0.5633 0.1867
Ta6 0.1867 0.5633 0.5633
Ta7 0.4367 0.4367 0.8133
Ta8 0.4367 0.8133 0.4367
Ta9 0.4367 0.8133 0.8133
Ta10 0.5000 0.0000 0.0000
Ta11 0.5633 0.1867 0.1867
Ta12 0.5633 0.1867 0.5633
Ta13 0.5633 0.5633 0.1867
Ta14 0.8133 0.4367 0.4367
Ta15 0.8133 0.4367 0.8133
Ta16 0.8133 0.8133 0.4367
Fe1 0.1398 0.7867 0.7867
Fe2 0.2133 0.2133 0.2133
Fe3 0.2133 0.2133 0.8602
Fe4 0.2133 0.8602 0.2133
Fe5 0.7867 0.1398 0.7867
Fe6 0.7867 0.7867 0.1398
Fe7 0.7867 0.7867 0.7867
Fe8 0.8602 0.2133 0.2133
N1 0.0000 0.5000 0.5000
N2 0.5000 0.0000 0.5000
N3 0.5000 0.5000 0.0000
N4 0.5000 0.5000 0.5000

Summary:
Its uncorrected formation energy is -3.59 eV per formula unit. The symmetry is Fd-3m (227). Its density of states at the Fermi level is 6.092 states/eV/f.u. The mass density comes out at 14.4 g/cm3. The value obtained for the electronic total energy is -10.893 eV per atom.

=====

TaFeN2: optimized geometry, GGA-PBE.

Unit cell a=3.1252 b=3.1252 c=17.8322 alpha=90.00 beta=90.00 gamma=120.00
Atoms (fractional coordinates):
Ta1 0.0000 0.0000 0.0000
Ta2 0.3333 0.6667 0.6667
Ta3 0.6667 0.3333 0.3333
Fe1 0.0000 0.0000 0.5000
Fe2 0.3333 0.6667 0.1667
Fe3 0.6667 0.3333 0.8333
N1 0.0000 0.0000 0.3945
N2 0.0000 0.0000 0.6055
N3 0.3333 0.6667 0.0612
N4 0.3333 0.6667 0.2721
N5 0.6667 0.3333 0.7279
N6 0.6667 0.3333 0.9388

Summary:
Its uncorrected formation energy is -1.86 eV per formula unit. The symmetry is R-3m (166). Its density of states at the Fermi level is 0.503 states/eV/f.u. The mass density comes out at 8.7 g/cm3. The value obtained for the electronic total energy is -9.706 eV per atom.

=====

TaFeN: optimized geometry, GGA-PBE.

Unit cell a=4.6533 b=2.9448 c=5.3214 alpha=90.00 beta=106.01 gamma=90.00
Atoms (fractional coordinates):
Ta1 0.0000 0.0000 0.0000
Ta2 0.3132 0.0000 0.5639
Fe1 0.5306 0.5000 0.9918
Fe2 0.7523 0.5000 0.4413
N1 0.1044 0.5000 0.7412
N2 0.3042 0.5000 0.2639

Summary:
Its uncorrected formation energy is -1.35 eV per formula unit. The symmetry is Pm (6). Its density of states at the Fermi level is 1.648 states/eV/f.u. The mass density comes out at 11.9 g/cm3. The value obtained for the electronic total energy is -9.997 eV per atom.

=====

TaFeN: optimized geometry, GGA-PBE.

Unit cell a=3.0275 b=3.0275 c=3.8341 alpha=90.00 beta=90.00 gamma=90.00
Atoms (fractional coordinates):
Ta1 0.0000 0.0000 0.0000
Fe1 0.5000 0.5000 0.5000
N1 0.5000 0.5000 0.0000

Summary:
Its uncorrected formation energy is -1.70 eV per formula unit. The symmetry is P4/mmm (123). Its density of states at the Fermi level is 2.180 states/eV/f.u. The mass density comes out at 11.9 g/cm3. The value obtained for the electronic total energy is -10.112 eV per atom.